Entry 1:
Entry from the Alexandria database: crystalline K2GeTeO6 at its relaxed geometry (PBE).

Results
volume = 487.32 Å³/cell
formation energy (no corrections) = -12.860 eV/f.u.
raw total energy = -5.256 eV/atom
total moment = 0.0 μB/f.u.

Unit cell a=7.8693 b=7.8693 c=7.8693 alpha=90.00 beta=90.00 gamma=90.00
Closest atoms and distances in Å follow each position.
Space group Fm-3m (No. 225)
Inequivalent atoms, fractional coordinates:
K: 0.2500 0.2500 0.2500 x8  12 O 2.78
Ge: 0.0000 0.0000 0.0000 x4  6 O 1.96
Te: 0.0000 0.0000 0.5000 x4  6 O 1.98
O: 0.0000 0.0000 0.2489 x24  1 Ge 1.96, 1 Te 1.98

---

Entry 2:
Entry from the Alexandria database: crystalline GeH2S at its relaxed geometry (PBE).

Results
volume = 167.21 Å³/cell
raw total energy = -3.079 eV/atom
total moment = 0.0 μB/f.u.
offset from the most stable computed form = 905 meV/atom

Unit cell a=5.5091 b=5.5091 c=5.5091 alpha=90.00 beta=90.00 gamma=90.00
Closest atoms and distances in Å follow each position.
Space group Fm-3m (No. 225)
Inequivalent atoms, fractional coordinates:
Ge: 0.0000 0.0000 0.0000 x4  8 H 2.39
H: 0.2500 0.2500 0.2500 x8  4 S 2.39, 4 Ge 2.39
S: 0.0000 0.0000 0.5000 x4  8 H 2.39

---

Entry 3:
Entry from the Alexandria database: crystalline ScFeBr2 at its relaxed geometry (PBE).

Results
volume = 212.10 Å³/cell
formation energy (no corrections) = -1.560 eV/f.u.
raw total energy = -4.925 eV/atom
total moment = 1.0 μB/f.u.
offset from the most stable computed form = 162 meV/atom

Unit cell a=9.1242 b=3.5017 c=6.6417 alpha=90.00 beta=91.75 gamma=90.00
Closest atoms and distances in Å follow each position.
Space group Cm (No. 8)
Inequivalent atoms, fractional coordinates:
Sc: 0.0000 0.0000 0.0000 x2  3 Fe 2.56-2.76, 2 Br 2.79
Fe: 0.2985 0.0000 0.9415 x2  3 Br 2.34-2.55, 2 Sc 2.56
Br: 0.2135 0.5000 0.1904 x2  2 Fe 2.55
Br: 0.4617 0.0000 0.6762 x2  1 Fe 2.34

---

Entry 4:
Entry from the Alexandria database: crystalline GaPIN2 at its relaxed geometry (PBE).

Results
volume = 92.19 Å³/cell
formation energy (no corrections) = 5.929 eV/f.u.
raw total energy = -4.142 eV/atom
total moment = 0.3 μB/f.u.
offset from the most stable computed form = 0 meV/atom

Unit cell a=3.7254 b=3.7254 c=6.6429 alpha=90.00 beta=90.00 gamma=90.00
Closest atoms and distances in Å follow each position.
Space group P4/mmm (No. 123)
Inequivalent atoms, fractional coordinates:
Ga: 0.0000 0.0000 0.0000 x1  4 I 2.63
P: 0.5000 0.5000 0.5000 x1  4 N 1.86
I: 0.5000 0.5000 0.0000 x1  4 Ga 2.63
N: 0.0000 0.5000 0.5000 x2  2 P 1.86

---

Entry 5:
Entry from the Alexandria database: crystalline AlGa4Hg at its relaxed geometry (PBE).

Results
formation energy from the elements = 179.8 meV/atom
volume = 497.62 Å³/cell
raw total energy = -2.512 eV/atom
total moment = 0.0 μB/f.u.

Unit cell a=7.9244 b=7.9244 c=7.9244 alpha=90.00 beta=90.00 gamma=90.00
Closest atoms and distances in Å follow each position.
Space group F-43m (No. 216)
Inequivalent atoms, fractional coordinates:
Al: 0.0000 0.0000 0.0000 x4  12 Ga 3.28, 4 Hg 3.43
Ga: 0.1252 0.1252 0.6252 x16  6 Ga 2.80-2.81
Hg: 0.2500 0.2500 0.2500 x4  12 Ga 3.29, 4 Al 3.43

---

Entry 6:
Entry from the Alexandria database: crystalline BaHg3Pd at its relaxed geometry (PBE).

Results
formation energy from the elements = 696.4 meV/atom
volume = 253.04 Å³/cell
raw total energy = -0.908 eV/atom
total moment = 0.0 μB/f.u.
offset from the most stable computed form = 1087 meV/atom

Unit cell a=6.3250 b=6.3250 c=6.3250 alpha=90.00 beta=90.00 gamma=90.00
Closest atoms and distances in Å follow each position.
Space group Pm-3m (No. 221)
Inequivalent atoms, fractional coordinates:
Ba: 0.0000 0.0000 0.0000 x1  6 Hg 3.16
Hg: 0.0000 0.0000 0.5000 x3  2 Ba 3.16
Pd: 0.5000 0.5000 0.5000 x1  12 Hg 4.47

---

Entry 7:
Entry from the Alexandria database: crystalline CuSCl2 at its relaxed geometry (PBE).

Results
volume = 354.03 Å³/cell
formation energy (no corrections) = 1.560 eV/f.u.
raw total energy = -2.589 eV/atom
total moment = 0.0 μB/f.u.
offset from the most stable computed form = 630 meV/atom

Unit cell a=6.4655 b=6.4655 c=8.4692 alpha=90.00 beta=90.00 gamma=90.00
Closest atoms and distances in Å follow each position.
Space group I-42d (No. 122)
Inequivalent atoms, fractional coordinates:
Cu: 0.0000 0.0000 0.0000 x4  4 Cl 2.30
S: 0.0000 0.0000 0.5000 x4  4 Cl 2.77
Cl: 0.1923 0.7500 0.1250 x8  2 Cu 2.30

---

Entry 8:
Entry from the Alexandria database: crystalline SrLaGe at its relaxed geometry (PBE).

Results
formation energy from the elements = -480.9 meV/atom
volume = 413.95 Å³/cell
raw total energy = -4.223 eV/atom
total moment = 0.0 μB/f.u.

Unit cell a=7.4528 b=7.4528 c=7.4528 alpha=90.00 beta=90.00 gamma=90.00
Closest atoms and distances in Å follow each position.
Space group F-43m (No. 216)
Inequivalent atoms, fractional coordinates:
Sr: 0.0000 0.0000 0.0000 x4  4 Ge 3.23
La: 0.0000 0.0000 0.5000 x4  4 Ge 3.23
Ge: 0.2500 0.2500 0.2500 x4  4 La 3.23, 4 Sr 3.23

---

Entry 9:
Entry from the Alexandria database: crystalline KPm2Sb at its relaxed geometry (PBE).

Results
volume = 125.60 Å³/cell
formation energy (no corrections) = -0.803 eV/f.u.
raw total energy = -3.881 eV/atom
total moment = 0.0 μB/f.u.
offset from the most stable computed form = 0 meV/atom

Unit cell a=5.1218 b=5.1218 c=4.7879 alpha=90.00 beta=90.00 gamma=90.00
Closest atoms and distances in Å follow each position.
Space group P4/mmm (No. 123)
Inequivalent atoms, fractional coordinates:
K: 0.0000 0.0000 0.0000 x1  8 Pm 3.51, 4 Sb 3.62
Pm: 0.0000 0.5000 0.5000 x2  4 K 3.51, 4 Sb 3.51, 4 Pm 3.62
Sb: 0.5000 0.5000 0.0000 x1  8 Pm 3.51, 4 K 3.62

---

Entry 10:
Entry from the Alexandria database: crystalline Tm4Zn3Rh at its relaxed geometry (PBE).

Results
formation energy from the elements = -514.9 meV/atom
volume = 169.39 Å³/cell
raw total energy = -4.147 eV/atom
total moment = 0.0 μB/f.u.

Unit cell a=3.4920 b=3.4920 c=13.8911 alpha=90.00 beta=90.00 gamma=90.00
Closest atoms and distances in Å follow each position.
Space group P4/mmm (No. 123)
Inequivalent atoms, fractional coordinates:
Tm: 0.0000 0.0000 0.1155 x2  4 Rh 2.95, 4 Zn 3.07, 1 Tm 3.21
Tm: 0.0000 0.0000 0.3722 x2  8 Zn 3.02-3.04
Zn: 0.5000 0.5000 0.2473 x2  8 Tm 3.02-3.07
Zn: 0.5000 0.5000 0.5000 x1  8 Tm 3.04
Rh: 0.5000 0.5000 0.0000 x1  8 Tm 2.95

---

Entry 11:
Entry from the Alexandria database: crystalline Ac2In3Pb3 at its relaxed geometry (PBE).

Results
formation energy from the elements = -400.5 meV/atom
volume = 248.37 Å³/cell
raw total energy = -3.845 eV/atom
total moment = 0.0 μB/f.u.
offset from the most stable computed form = 3 meV/atom

Unit cell a=4.9411 b=5.0766 c=9.9016 alpha=90.00 beta=90.00 gamma=90.00
Closest atoms and distances in Å follow each position.
Space group Pmmm (No. 47)
Inequivalent atoms, fractional coordinates:
Ac: 0.0000 0.0000 0.2494 x2  6 Pb 3.49-3.55, 6 In 3.54
In: 0.0000 0.5000 0.0000 x1  4 In 3.43, 4 Ac 3.54, 4 Pb 3.54
In: 0.5000 0.5000 0.2398 x2  2 In 3.43, 6 Pb 3.48-3.62, 4 Ac 3.54
Pb: 0.0000 0.5000 0.5000 x1  4 Pb 3.54, 4 Ac 3.55, 4 In 3.57
Pb: 0.5000 0.0000 0.0000 x1  8 In 3.48-3.54, 4 Ac 3.49
Pb: 0.5000 0.0000 0.5000 x1  4 Ac 3.50, 4 Pb 3.54, 4 In 3.62

---

Entry 12:
Entry from the Alexandria database: crystalline ScSe3 at its relaxed geometry (PBE).

Results
volume = 280.43 Å³/cell
formation energy (no corrections) = -2.053 eV/f.u.
raw total energy = -4.710 eV/atom
total moment = 0.0 μB/f.u.

Unit cell a=3.6936 b=3.6936 c=23.7346 alpha=90.00 beta=90.00 gamma=120.00
Closest atoms and distances in Å follow each position.
Space group R-3m (No. 166, hexagonal axes)
Inequivalent atoms, fractional coordinates:
Sc: 0.0000 0.0000 0.0000 x3  6 Se 2.69
Se: 0.0000 0.0000 0.2641 x6  3 Sc 2.69
Se: 0.0000 0.0000 0.5000 x3  6 Se 3.15